{
  "formula": "Ti3TlI",
  "functional": "GGA-PBE",
  "state": "relaxed",
  "lattice": [[5.014, 0.000, 0.000], [0.000, 5.014, 0.000], [0.000, 0.000, 5.014]],
  "species": ["Tl", "Ti", "Ti", "Ti", "I"],
  "frac_coords": [[0.500, 0.500, 0.500], [0.500, 0.000, 0.000], [0.000, 0.500, 0.000], [0.000, 0.000, 0.500], [0.000, 0.000, 0.000]],
  "space_group": "Pm-3m (221)",
  "total_energy_ev_per_fu": -23.122,
  "e_form_raw_mev_per_atom": 896,
  "volume_a3_per_cell": 126,
  "n_ef_per_ev_atom": 0.91,
  "crystal_system": "cubic"
}